VASP calculation (PBE+U) on crystalline CrNiIO2 at its relaxed geometry.

```
data_CrNiIO2
_cell_length_a 3.723
_cell_length_b 3.723
_cell_length_c 7.051
_cell_angle_alpha 90.00
_cell_angle_beta 90.00
_cell_angle_gamma 90.00
_symmetry_space_group_name_H-M 'P 4/m m m'
_symmetry_Int_Tables_number 123
_symmetry_space_group_name_Hall '-P 4 2'
loop_
_atom_site_label
_atom_site_fract_x
_atom_site_fract_y
_atom_site_fract_z
Cr1 0.000 0.000 0.000
Ni1 0.500 0.500 0.500
I1 0.000 0.000 0.500
O1 0.000 0.500 0.000
```

Output
Crystal system: tetragonal
Raw total energy (Ry/atom): -0.3514